[1]
VASP calculation (PBE) on crystalline Nd3Er3Te2Ir at its relaxed geometry.

Results
The symmetry is No. 189. The uncorrected energy is -5.695 eV/atom. Its energy relative to the lowest polymorph listed for this composition is 0 meV/atom.

Unit cell a=8.437 b=8.437 c=4.057 alpha=90.00 beta=90.00 gamma=120.00
Positions (direct):
Er: 0.000 0.764 0.500
Ir: 0.000 0.000 0.000
Te: 0.333 0.667 0.500
Nd: 0.599 0.599 0.000
Nd: 0.401 0.000 0.000
Nd: 0.000 0.401 0.000
Er: 0.764 0.000 0.500
Te: 0.667 0.333 0.500
Er: 0.236 0.236 0.500

[2]
VASP calculation (PBE) on crystalline CsSrAu at its relaxed geometry.

Results
The symmetry is No. 216. The uncorrected energy is -1.634 eV/atom. Its energy relative to the lowest polymorph listed for this composition is 509 meV/atom.

Unit cell a=5.629 b=5.629 c=5.629 alpha=60.00 beta=60.00 gamma=60.00
Positions (direct):
Au: 0.250 0.250 0.250
Cs: 0.000 0.000 0.000
Sr: 0.750 0.750 0.750

[3]
VASP calculation (PBE) on crystalline MgPtSeO at its relaxed geometry.

Results
The symmetry is No. 129. The uncorrected energy is -4.687 eV/atom. Its energy relative to the lowest polymorph listed for this composition is 506 meV/atom.

Unit cell a=3.592 b=3.592 c=11.836 alpha=90.00 beta=90.00 gamma=90.00
Positions (direct):
Mg: 0.000 0.000 0.579
Mg: 0.500 0.500 0.421
Pt: 0.000 0.500 0.000
O: 0.500 0.500 0.585
Pt: 0.500 0.000 0.000
Se: 0.000 0.000 0.158
O: 0.000 0.000 0.415
Se: 0.500 0.500 0.842

[4]
VASP calculation (PBE) on crystalline AlFe4SiIr2 at its relaxed geometry.

Results
The symmetry is No. 115. The uncorrected energy is -7.896 eV/atom.

Unit cell a=4.133 b=4.133 c=5.859 alpha=90.00 beta=90.00 gamma=90.00
Positions (direct):
Fe: 0.500 0.500 0.000
Fe: 0.000 0.500 0.745
Ir: 0.000 0.500 0.256
Ir: 0.500 0.000 0.744
Fe: 0.000 0.000 0.500
Si: 0.500 0.500 0.500
Fe: 0.500 0.000 0.255
Al: 0.000 0.000 0.000

[5]
VASP calculation (PBE) on crystalline AcIr3 at its relaxed geometry.

Results
The symmetry is No. 139. The uncorrected energy is -7.431 eV/atom. For the formation energy, the calculation gives 0.237 eV/atom.

Unit cell a=5.142 b=5.142 c=5.142 alpha=131.21 beta=131.21 gamma=71.48
Positions (direct):
Ir: 0.250 0.750 0.500
Ac: 0.000 0.000 0.000
Ir: 0.500 0.500 0.000
Ir: 0.750 0.250 0.500

[6]
VASP calculation (PBE) on crystalline LiAg2AsO4 at its relaxed geometry.

Results
The symmetry is No. 121. The uncorrected energy is -4.973 eV/atom.

Unit cell a=5.181 b=5.181 c=5.181 alpha=106.68 beta=106.68 gamma=115.21
Positions (direct):
Li: 0.500 0.500 0.000
O: 0.046 0.046 0.694
As: 0.000 0.000 0.000
Ag: 0.750 0.250 0.500
O: 0.351 0.351 0.306
O: 0.649 0.954 0.000
O: 0.954 0.649 0.000
Ag: 0.250 0.750 0.500